i.
Be3W after structural relaxation, computed with GGA-PBE.

Lattice parameters (Å, degrees): 4.414 4.414 7.353 90.00 107.47 119.99
Atoms (fractional coordinates):
1 Be 0.660 0.583 0.243
2 Be 0.000 0.500 0.500
3 Be 0.166 0.583 0.243
4 Be 0.331 0.665 0.997
5 Be 0.340 0.417 0.757
6 Be 0.669 0.335 0.003
7 Be 0.834 0.417 0.757
8 Be 0.340 0.923 0.757
9 Be 0.660 0.077 0.243
10 W 0.000 0.000 0.000
11 W 0.711 0.856 0.567
12 W 0.289 0.144 0.433

***

ii.
Be3W after structural relaxation, computed with GGA-PBE.

Lattice parameters (Å, degrees): 4.687 4.687 4.687 147.53 129.37 61.44
Atoms (fractional coordinates):
1 Be 0.084 0.500 0.584
2 Be 0.309 0.226 0.083
3 Be 0.857 0.774 0.083
4 W 0.584 0.000 0.584

***

Decreasing stability: i, ii

***

i.
Be3W after structural relaxation, computed with GGA-PBE.

Lattice parameters (Å, degrees): 7.952 7.952 7.952 19.06 19.06 19.06
Atoms (fractional coordinates):
1 Be 0.756 0.756 0.756
2 Be 0.500 0.500 0.500
3 Be 0.244 0.244 0.244
4 W 0.000 0.000 0.000

***

ii.
Be3W after structural relaxation, computed with GGA-PBE.

Lattice parameters (Å, degrees): 3.892 3.892 3.892 60.00 60.00 60.00
Each line ends with the local moment (μB).
Atoms (fractional coordinates):
1 W 0.750 0.750 0.750  0.79
2 Be 0.500 0.500 0.500  0.01
3 Be 0.250 0.250 0.250  -0.01
4 Be 0.000 0.000 0.000  0.01

***

Decreasing stability: ii, i

***

i.
Be3W after structural relaxation, computed with GGA-PBE.

Lattice parameters (Å, degrees): 2.640 2.640 7.636 90.00 90.00 120.00
Atoms (fractional coordinates):
1 Be 0.000 0.000 0.026
2 Be 0.000 0.000 0.474
3 Be 0.667 0.333 0.250
4 W 0.667 0.333 0.750

***

ii.
Be3W after structural relaxation, computed with GGA-PBE.

Lattice parameters (Å, degrees): 4.554 4.554 4.554 90.00 90.00 90.00
Each line ends with the local moment (μB).
Atoms (fractional coordinates):
1 W 0.000 0.000 0.000  0.71
2 Be 0.500 0.000 0.000  0.03
3 Be 0.000 0.500 0.000  0.03
4 Be 0.000 0.000 0.500  0.03

***

Decreasing stability: i, ii

***

i.
Be3W after structural relaxation, computed with GGA-PBE.

Lattice parameters (Å, degrees): 4.340 4.340 4.340 133.91 133.91 67.23
Atoms (fractional coordinates):
1 Be 0.500 0.500 0.000
2 Be 0.250 0.750 0.500
3 Be 0.750 0.250 0.500
4 W 0.000 0.000 0.000

***

ii.
Be3W after structural relaxation, computed with GGA-PBE.

Lattice parameters (Å, degrees): 4.175 4.175 2.633 90.00 90.00 107.07
Atoms (fractional coordinates):
1 W 0.000 0.000 0.000
2 Be 0.000 0.500 0.500
3 Be 0.500 0.000 0.500
4 Be 0.500 0.500 0.000

***

Decreasing stability: ii, i

***

i.
BeW5 after structural relaxation, computed with GGA-PBE.

Lattice parameters (Å, degrees): 7.839 7.839 4.593 90.00 90.00 160.64
Atoms (fractional coordinates):
1 W 0.348 0.652 0.000
2 W 0.444 0.556 0.500
3 W 0.771 0.229 0.500
4 W 0.668 0.332 0.000
5 W 0.102 0.898 0.500
6 Be 0.001 0.999 0.000

***

ii.
BeW5 after structural relaxation, computed with GGA-PBE.

Lattice parameters (Å, degrees): 5.126 5.126 6.324 71.54 71.54 35.93
Atoms (fractional coordinates):
1 W 0.500 0.500 0.000
2 W 0.827 0.827 0.336
3 W 0.173 0.173 0.664
4 W 0.161 0.161 0.173
5 W 0.839 0.839 0.827
6 Be 0.500 0.500 0.500

***

iii.
BeW5 after structural relaxation, computed with GGA-PBE.

Lattice parameters (Å, degrees): 4.810 4.810 4.630 90.00 90.00 120.00
Atoms (fractional coordinates):
1 W 0.674 0.000 0.000
2 W 0.667 0.333 0.500
3 W 0.333 0.667 0.500
4 W 0.326 0.326 0.000
5 W 0.000 0.674 0.000
6 Be 0.000 0.000 0.500

***

iv.
BeW5 after structural relaxation, computed with GGA-PBE.

Lattice parameters (Å, degrees): 5.206 5.206 5.206 60.00 60.00 60.00
Atoms (fractional coordinates):
1 W 0.626 0.123 0.626
2 W 0.250 0.250 0.250
3 W 0.123 0.626 0.626
4 W 0.626 0.626 0.626
5 W 0.626 0.626 0.123
6 Be 0.000 0.000 0.000

***

Decreasing stability: ii, i, iii, iv

***

i.
BeW3 after structural relaxation, computed with GGA-PBE.

Lattice parameters (Å, degrees): 4.373 4.373 4.373 60.00 60.00 60.00
Atoms (fractional coordinates):
1 W 0.250 0.250 0.250
2 W 0.750 0.750 0.750
3 W 0.500 0.500 0.500
4 Be 0.000 0.000 0.000

***

ii.
BeW3 after structural relaxation, computed with GGA-PBE.

Lattice parameters (Å, degrees): 2.762 2.762 9.074 90.00 90.00 120.00
Atoms (fractional coordinates):
1 Be 0.000 0.000 0.000
2 W 0.667 0.333 0.225
3 W 0.667 0.333 0.775
4 W 0.000 0.000 0.500

***

iii.
BeW3 after structural relaxation, computed with GGA-PBE.

Lattice parameters (Å, degrees): 4.880 6.135 7.622 90.00 90.00 90.00
Atoms (fractional coordinates):
1 W 0.853 0.677 0.553
2 W 0.402 0.508 0.750
3 W 0.902 0.992 0.250
4 W 0.353 0.823 0.053
5 W 0.147 0.323 0.053
6 W 0.353 0.823 0.447
7 W 0.598 0.492 0.250
8 W 0.647 0.177 0.553
9 W 0.853 0.677 0.947
10 W 0.647 0.177 0.947
11 W 0.098 0.008 0.750
12 W 0.147 0.323 0.447
13 Be 0.425 0.117 0.250
14 Be 0.075 0.617 0.250
15 Be 0.575 0.883 0.750
16 Be 0.925 0.383 0.750

***

iv.
BeW3 after structural relaxation, computed with GGA-PBE.

Lattice parameters (Å, degrees): 5.372 5.372 4.452 90.00 90.00 114.23
Atoms (fractional coordinates):
1 W 0.845 0.612 0.250
2 W 0.128 0.872 0.750
3 W 0.612 0.845 0.750
4 W 0.388 0.155 0.250
5 W 0.872 0.128 0.250
6 W 0.155 0.388 0.750
7 Be 0.647 0.353 0.750
8 Be 0.353 0.647 0.250

***

Decreasing stability: iii, iv, i, ii

***

i.
BeW3 after structural relaxation, computed with GGA-PBE.

Lattice parameters (Å, degrees): 3.190 3.190 5.720 90.00 90.00 90.00
Atoms (fractional coordinates):
1 W 0.000 0.000 0.500
2 W 0.500 0.500 0.775
3 W 0.500 0.500 0.225
4 Be 0.000 0.000 0.000

***

ii.
BeW3 after structural relaxation, computed with GGA-PBE.

Lattice parameters (Å, degrees): 2.655 4.110 5.520 90.00 90.00 90.00
Atoms (fractional coordinates):
1 W 0.000 0.000 0.500
2 W 0.500 0.500 0.234
3 W 0.500 0.500 0.766
4 Be 0.000 0.000 0.000

***

Decreasing stability: i, ii

***

i.
BeW3 after structural relaxation, computed with GGA-PBE.

Lattice parameters (Å, degrees): 5.135 5.135 5.135 117.01 117.01 117.01
Atoms (fractional coordinates):
1 W 0.500 0.500 0.000
2 W 0.000 0.500 0.500
3 W 0.500 0.000 0.500
4 Be 0.000 0.000 0.000

***

ii.
BeW3 after structural relaxation, computed with GGA-PBE.

Lattice parameters (Å, degrees): 2.733 2.733 8.051 90.00 90.00 106.63
Atoms (fractional coordinates):
1 Be 0.000 0.000 0.000
2 W 0.500 0.500 0.221
3 W 0.000 0.000 0.500
4 W 0.500 0.500 0.779

***

iii.
BeW3 after structural relaxation, computed with GGA-PBE.

Lattice parameters (Å, degrees): 4.150 4.150 3.414 90.00 90.00 90.01
Atoms (fractional coordinates):
1 W 0.000 0.500 0.500
2 W 0.500 0.000 0.500
3 W 0.500 0.500 0.000
4 Be 0.000 0.000 0.000

***

Decreasing stability: ii, i, iii

***

i.
BeW4 after structural relaxation, computed with GGA-PBE.

Lattice parameters (Å, degrees): 4.240 4.240 4.240 90.00 90.00 90.00
Atoms (fractional coordinates):
1 W 0.500 0.500 0.000
2 W 0.000 0.500 0.500
3 W 0.500 0.000 0.500
4 W 0.000 0.000 0.000
5 Be 0.500 0.500 0.500

***

ii.
BeW4 after structural relaxation, computed with GGA-PBE.

Lattice parameters (Å, degrees): 4.732 4.732 4.732 109.47 109.47 109.47
Atoms (fractional coordinates):
1 W 0.000 0.500 0.000
2 W 0.500 0.000 0.000
3 W 0.000 0.000 0.500
4 W 0.500 0.500 0.500
5 Be 0.000 0.000 0.000

***

Decreasing stability: i, ii

***

i.
Be5W after structural relaxation, computed with GGA-PBE.

Lattice parameters (Å, degrees): 5.172 5.172 3.463 90.00 90.00 141.85
Atoms (fractional coordinates):
1 Be 0.169 0.831 0.000
2 Be 0.686 0.314 0.500
3 Be 0.314 0.686 0.500
4 Be 0.831 0.169 0.000
5 Be 0.500 0.500 0.000
6 W 0.000 0.000 0.500

***

ii.
Be5W after structural relaxation, computed with GGA-PBE.

Lattice parameters (Å, degrees): 2.669 2.669 8.071 90.00 90.00 90.00
Atoms (fractional coordinates):
1 Be 0.500 0.500 0.353
2 Be 0.000 0.000 0.500
3 Be 0.000 0.000 0.788
4 Be 0.500 0.500 0.647
5 Be 0.000 0.000 0.212
6 W 0.500 0.500 0.000

***

Decreasing stability: i, ii

***

i.
YBe3W after structural relaxation, computed with GGA-PBE.

Lattice parameters (Å, degrees): 4.341 4.341 4.341 90.00 90.00 90.00
Each line ends with the local moment (μB).
Atoms (fractional coordinates):
1 Be 0.000 0.000 0.500  0.12
2 Be 0.500 0.000 0.000  0.28
3 Be 0.000 0.500 0.000  0.18
4 Y 0.000 0.000 0.000  0.91
5 W 0.500 0.500 0.500  -0.56

***

ii.
YBe3W after structural relaxation, computed with GGA-PBE.

Lattice parameters (Å, degrees): 4.390 4.390 4.390 90.00 90.00 90.00
Atoms (fractional coordinates):
1 Be 0.000 0.000 0.500
2 Be 0.000 0.500 0.000
3 Be 0.500 0.000 0.000
4 W 0.000 0.000 0.000
5 Y 0.500 0.500 0.500

***

Decreasing stability: ii, i